SmCdCuAu GGA-PBE relaxed; calculated total energy = -3.654 eV per atom; calculated formation energy = -402 meV/atom; symmetry = F-43m
1.0
4.906 0.000 0.000
2.453 4.248 0.000
2.453 1.416 4.005
Cd Au Cu Sm
1 1 1 1
Direct
0.750 0.750 0.750 Cd
0.000 0.000 0.000 Au
0.500 0.500 0.500 Cu
0.250 0.250 0.250 Sm

CdCu2Sn2Au5 GGA-PBE relaxed; calculated total energy = -3.402 eV per atom; calculated formation energy = -52 meV/atom; symmetry = P4/mbm
1.0
-2.379 -0.896 -3.377
7.776 -2.458 -4.826
-0.940 -8.929 3.033
Au Cu Cd Sn
10 4 2 4
Direct
0.500 0.092 0.805 Au
0.500 0.805 0.908 Au
0.500 0.908 0.195 Au
0.500 0.695 0.408 Au
0.500 0.000 0.500 Au
0.500 0.500 0.000 Au
0.500 0.408 0.305 Au
0.500 0.305 0.592 Au
0.500 0.195 0.092 Au
0.500 0.592 0.695 Au
0.000 0.378 0.122 Cu
0.000 0.122 0.622 Cu
0.000 0.622 0.878 Cu
0.000 0.878 0.378 Cu
0.000 0.500 0.500 Cd
0.000 0.000 0.000 Cd
0.000 0.171 0.329 Sn
0.000 0.829 0.671 Sn
0.000 0.329 0.829 Sn
0.000 0.671 0.171 Sn

Cd2Cu7Sn2Au GGA-PBE relaxed; calculated total energy = -3.369 eV per atom; calculated formation energy = 113 meV/atom; symmetry = C2/m
1.0
-1.273 -2.998 1.707
0.946 -2.085 -2.878
13.816 -4.066 5.878
Au Cu Sn Cd
1 7 2 2
Direct
0.000 0.000 0.000 Au
0.500 0.500 0.000 Cu
0.545 0.046 0.873 Cu
0.333 0.333 0.448 Cu
0.667 0.667 0.552 Cu
0.455 0.954 0.127 Cu
0.954 0.455 0.127 Cu
0.046 0.545 0.873 Cu
0.138 0.138 0.617 Sn
0.862 0.862 0.383 Sn
0.592 0.592 0.740 Cd
0.408 0.408 0.260 Cd

Tb4CdCuAu2 GGA-PBE relaxed; calculated total energy = -4.315 eV per atom; calculated formation energy = -554 meV/atom; symmetry = R-3m
1.0
-2.454 4.470 0.450
-4.898 0.093 1.483
-0.024 2.050 8.626
Tb Cu Au Cd
4 1 2 1
Direct
0.619 0.619 0.144 Tb
0.381 0.381 0.856 Tb
0.870 0.870 0.391 Tb
0.130 0.130 0.609 Tb
0.500 0.500 0.500 Cu
0.744 0.744 0.768 Au
0.256 0.256 0.232 Au
0.000 0.000 0.000 Cd

ThCdCuAu GGA-PBE relaxed; calculated total energy = -4.281 eV per atom; calculated formation energy = -354 meV/atom; symmetry = F-43m
1.0
-3.832 3.133 0.325
-4.103 -1.345 2.441
-1.108 2.120 4.345
Th Cu Cd Au
1 1 1 1
Direct
0.250 0.250 0.250 Th
0.000 0.000 0.000 Cu
0.750 0.750 0.750 Cd
0.500 0.500 0.500 Au

TmCdCuAu GGA-PBE relaxed; calculated total energy = -3.616 eV per atom; calculated formation energy = -426 meV/atom; symmetry = F-43m
1.0
4.797 0.000 0.000
2.398 4.154 0.000
2.398 1.385 3.916
Au Cd Tm Cu
1 1 1 1
Direct
0.250 0.250 0.250 Au
0.500 0.500 0.500 Cd
0.000 0.000 0.000 Tm
0.750 0.750 0.750 Cu

UCdCuAu GGA-PBE relaxed; calculated total energy = -4.825 eV per atom; calculated formation energy = 69 meV/atom; symmetry = F-43m
1.0
-0.323 2.902 3.889
-4.317 1.790 1.346
-2.139 -1.606 4.062
Au Cu U Cd
1 1 1 1
Direct
0.500 0.500 0.500 Au
0.000 0.000 0.000 Cu
0.750 0.750 0.750 U
0.250 0.250 0.250 Cd

YCdCuAu GGA-PBE relaxed; calculated total energy = -4.113 eV per atom; calculated formation energy = -425 meV/atom; symmetry = F-43m
1.0
4.846 0.000 0.000
2.423 4.197 0.000
2.423 1.399 3.957
Au Y Cu Cd
1 1 1 1
Direct
0.500 0.500 0.500 Au
0.750 0.750 0.750 Y
0.000 0.000 0.000 Cu
0.250 0.250 0.250 Cd

Zn2CdCuAu5 GGA-PBE relaxed; calculated total energy = -2.637 eV per atom; calculated formation energy = 23 meV/atom; symmetry = I4/mcm
1.0
-0.669 -6.729 -1.529
6.594 -1.076 1.851
-4.939 2.663 6.158
Cd Au Zn Cu
2 10 4 2
Direct
0.750 0.750 0.500 Cd
0.250 0.250 0.500 Cd
0.842 0.934 0.275 Au
0.934 0.434 0.275 Au
0.342 0.842 0.275 Au
0.158 0.066 0.725 Au
0.000 0.000 0.000 Au
0.566 0.658 0.725 Au
0.434 0.342 0.275 Au
0.658 0.158 0.725 Au
0.066 0.566 0.725 Au
0.500 0.500 0.000 Au
0.880 0.620 0.000 Zn
0.380 0.880 0.000 Zn
0.120 0.380 0.000 Zn
0.620 0.120 0.000 Zn
0.250 0.750 0.500 Cu
0.750 0.250 0.500 Cu

Zn2CdCu2Au2 GGA-PBE relaxed; calculated total energy = -2.704 eV per atom; calculated formation energy = -103 meV/atom; symmetry = C2/m
1.0
3.955 0.000 0.000
-1.978 4.402 0.271
0.000 -1.156 6.307
Au Zn Cu Cd
2 2 2 1
Direct
0.283 0.567 0.820 Au
0.717 0.433 0.180 Au
0.581 0.163 0.685 Zn
0.419 0.837 0.315 Zn
0.130 0.260 0.428 Cu
0.870 0.740 0.572 Cu
0.000 0.000 0.000 Cd

ZnCd2Cu2Au5 GGA-PBE relaxed; calculated total energy = -2.861 eV per atom; calculated formation energy = -93 meV/atom; symmetry = P4/mbm
1.0
-0.493 2.632 -2.783
0.523 -6.931 -6.648
-9.525 -1.226 0.529
Zn Cd Au Cu
2 4 10 4
Direct
0.000 0.500 0.500 Zn
0.000 0.000 0.000 Zn
0.000 0.335 0.835 Cd
0.000 0.165 0.335 Cd
0.000 0.835 0.665 Cd
0.000 0.665 0.165 Cd
0.500 0.185 0.097 Au
0.500 0.685 0.403 Au
0.500 0.403 0.315 Au
0.500 0.903 0.185 Au
0.500 0.815 0.903 Au
0.500 0.000 0.500 Au
0.500 0.315 0.597 Au
0.500 0.500 0.000 Au
0.500 0.097 0.815 Au
0.500 0.597 0.685 Au
0.000 0.371 0.129 Cu
0.000 0.629 0.871 Cu
0.000 0.129 0.629 Cu
0.000 0.871 0.371 Cu

DyCd5Au6 GGA-PBE relaxed; calculated total energy = -2.714 eV per atom; calculated formation energy = -311 meV/atom; symmetry = C2/m
1.0
-2.589 -1.859 -3.532
7.465 1.534 -3.082
-0.300 -5.350 6.234
Au Cd Dy
6 5 1
Direct
0.257 0.423 0.086 Au
0.245 0.745 0.745 Au
0.743 0.914 0.577 Au
0.257 0.086 0.423 Au
0.755 0.255 0.255 Au
0.743 0.577 0.914 Au
0.500 0.164 0.836 Cd
0.500 0.500 0.500 Cd
0.500 0.836 0.164 Cd
0.000 0.332 0.668 Cd
0.000 0.668 0.332 Cd
0.000 0.000 0.000 Dy

DyCd2Au GGA-PBE relaxed; calculated total energy = -2.310 eV per atom; calculated formation energy = 117 meV/atom; symmetry = R-3m
1.0
-0.394 2.497 2.013
-1.225 -0.482 2.951
9.414 -0.882 5.532
Dy Cd Au
1 2 1
Direct
0.000 0.000 0.000 Dy
0.904 0.904 0.289 Cd
0.096 0.096 0.711 Cd
0.500 0.500 0.500 Au

DyCdAu GGA-PBE relaxed; calculated total energy = -3.584 eV per atom; calculated formation energy = -652 meV/atom; symmetry = P6_3/mmc
1.0
-1.950 0.105 4.716
5.042 -0.430 -0.668
0.527 6.044 0.084
Dy Au Cd
2 2 2
Direct
0.667 0.833 0.750 Dy
0.333 0.167 0.250 Dy
0.333 0.167 0.750 Au
0.667 0.833 0.250 Au
0.000 0.500 0.000 Cd
0.000 0.500 0.500 Cd

Dy5Cd4Au GGA-PBE relaxed; calculated total energy = -3.422 eV per atom; calculated formation energy = -427 meV/atom; symmetry = P4/mmm
1.0
-3.192 -1.839 -0.375
1.824 -3.214 0.233
-2.224 0.081 18.519
Dy Cd Au
5 4 1
Direct
0.500 0.500 0.092 Dy
0.500 0.500 0.704 Dy
0.500 0.500 0.908 Dy
0.500 0.500 0.500 Dy
0.500 0.500 0.296 Dy
0.000 0.000 0.398 Cd
0.000 0.000 0.803 Cd
0.000 0.000 0.197 Cd
0.000 0.000 0.602 Cd
0.000 0.000 0.000 Au

Dy2Cd3Au2 GGA-PBE relaxed; calculated total energy = -3.181 eV per atom; polymorph energy (0 for the lowest one) = 0.000 eV per atom; calculated formation energy = -538 meV/atom; symmetry = C2/m
1.0
-0.150 1.571 4.349
-1.880 -5.095 -0.685
7.368 -0.480 0.427
Cd Au Dy
3 2 2
Direct
0.620 0.240 0.432 Cd
0.380 0.760 0.568 Cd
0.500 0.000 0.000 Cd
0.830 0.659 0.800 Au
0.170 0.341 0.200 Au
0.865 0.730 0.216 Dy
0.135 0.270 0.784 Dy

DyCd2Au GGA-PBE relaxed; calculated total energy = -2.892 eV per atom; calculated formation energy = -465 meV/atom; symmetry = Pmmn
1.0
-2.186 1.461 3.855
-5.574 -2.741 -2.122
1.468 -5.123 2.773
Cd Au Dy
4 2 2
Direct
0.750 0.865 0.494 Cd
0.250 0.135 0.506 Cd
0.250 0.135 0.993 Cd
0.750 0.865 0.007 Cd
0.250 0.710 0.750 Au
0.750 0.290 0.250 Au
0.750 0.423 0.750 Dy
0.250 0.577 0.250 Dy

DyCdAu GGA-PBE relaxed; calculated total energy = -3.449 eV per atom; calculated formation energy = -517 meV/atom; symmetry = F-43m
1.0
4.796 0.000 0.000
2.398 4.153 0.000
2.398 1.384 3.916
Dy Cd Au
1 1 1
Direct
0.000 0.000 0.000 Dy
0.500 0.500 0.500 Cd
0.250 0.250 0.250 Au

DyCdAu GGA-PBE relaxed; calculated total energy = -3.487 eV per atom; calculated formation energy = -556 meV/atom; symmetry = P-6m2
1.0
-1.100 3.199 -0.519
-4.494 -1.379 1.022
2.893 1.564 3.511
Dy Au Cd
1 1 1
Direct
0.667 0.667 0.333 Dy
0.166 0.333 0.667 Au
0.167 0.000 0.000 Cd

Dy2CdAu GGA-PBE relaxed; calculated total energy = -3.940 eV per atom; polymorph energy (0 for the lowest one) = 0.000 eV per atom; calculated formation energy = -591 meV/atom; symmetry = P4/mmm
1.0
-1.103 2.276 2.668
-3.401 -1.376 -0.232
1.697 -5.037 4.999
Au Cd Dy
1 1 2
Direct
0.500 0.500 0.000 Au
0.500 0.500 0.500 Cd
0.000 0.000 0.237 Dy
0.000 0.000 0.763 Dy

Dy3Cd4Au4 GGA-PBE relaxed; calculated total energy = -3.326 eV per atom; calculated formation energy = -547 meV/atom; symmetry = Immm
1.0
3.813 0.000 0.000
0.000 8.039 0.000
-1.906 -4.019 8.322
Au Cd Dy
4 4 3
Direct
0.746 0.246 0.492 Au
0.500 0.196 0.000 Au
0.500 0.804 0.000 Au
0.254 0.754 0.508 Au
0.663 0.478 0.326 Cd
0.663 0.848 0.326 Cd
0.337 0.522 0.674 Cd
0.337 0.152 0.674 Cd
0.000 0.500 0.000 Dy
0.891 0.891 0.783 Dy
0.109 0.109 0.217 Dy

Dy2CdAu GGA-PBE relaxed; calculated total energy = -3.910 eV per atom; polymorph energy (0 for the lowest one) = 0.030 eV per atom; calculated formation energy = -561 meV/atom; symmetry = Fm-3m
1.0
5.183 0.000 0.000
2.591 4.489 0.000
2.591 1.496 4.232
Cd Dy Au
1 2 1
Direct
0.500 0.500 0.500 Cd
0.750 0.750 0.750 Dy
0.250 0.250 0.250 Dy
0.000 0.000 0.000 Au

DyCdAu3 GGA-PBE relaxed; calculated total energy = -3.452 eV per atom; calculated formation energy = -382 meV/atom; symmetry = P6_3/mmc
1.0
5.493 0.000 0.000
0.000 6.887 -0.001
0.000 -3.442 5.965
Au Dy Cd
6 2 2
Direct
0.250 0.799 0.599 Au
0.750 0.201 0.401 Au
0.750 0.201 0.799 Au
0.250 0.401 0.201 Au
0.750 0.599 0.799 Au
0.250 0.799 0.201 Au
0.250 0.334 0.666 Dy
0.750 0.666 0.334 Dy
0.000 0.000 0.000 Cd
0.500 0.000 0.000 Cd

DyCd9Au2 GGA-PBE relaxed; calculated total energy = -1.773 eV per atom; calculated formation energy = -157 meV/atom; symmetry = I4_1/amd
1.0
-7.233 -1.574 -1.373
-1.679 -2.783 -8.603
-2.326 -8.745 1.636
Cd Au Dy
18 4 2
Direct
0.151 0.182 0.422 Cd
0.599 0.318 0.078 Cd
0.323 0.078 0.682 Cd
0.083 0.922 0.318 Cd
0.755 0.578 0.818 Cd
0.995 0.922 0.682 Cd
0.667 0.182 0.578 Cd
0.151 0.422 0.182 Cd
0.755 0.818 0.578 Cd
0.995 0.682 0.922 Cd
0.083 0.318 0.922 Cd
0.323 0.682 0.078 Cd
0.750 0.500 0.500 Cd
0.000 0.000 0.000 Cd
0.427 0.818 0.422 Cd
0.667 0.578 0.182 Cd
0.599 0.078 0.318 Cd
0.427 0.422 0.818 Cd
0.375 0.750 0.750 Au
0.875 0.750 0.250 Au
0.875 0.250 0.750 Au
0.875 0.250 0.250 Au
0.250 0.500 0.500 Dy
0.500 0.000 0.000 Dy